[1]
A relaxed Co2MoAs crystal, computed with GGA-PBEsol.

Computed properties:
Its crystal system is trigonal. As for the formation energy: 0.6 eV/f.u. As for the density of states at the Fermi level: 12.71 states/eV per cell. Its total moment is 0.44 μB per formula unit.

Unit cell a=2.7160 b=2.7160 c=23.6632 alpha=90.00 beta=90.00 gamma=120.00
Space group R-3m (No. 166, hexagonal axes)
One atom of each set of equivalent atoms:
Co (0.0000, 0.0000, 0.2453)
Mo (0.0000, 0.0000, 0.0000)
As (0.0000, 0.0000, 0.5000)



[2]
A relaxed CaReNO2 crystal, computed with GGA-PBEsol.

Computed properties:
Its crystal system is tetragonal. As for the density of states at the Fermi level: 4.51 states/eV per cell. The value obtained for the uncorrected formation energy is 1.2034 eV/atom. Its total moment is 2.00 μB per formula unit.

Unit cell a=4.113 b=4.113 c=4.276 alpha=90.00 beta=90.00 gamma=90.00
Space group P4/mmm (No. 123)
One atom of each set of equivalent atoms:
Ca (0.000, 0.000, 0.000)
Re (0.500, 0.500, 0.500)
N (0.000, 0.000, 0.500)
O (0.000, 0.500, 0.000)